Run P
The following is a PBE calculation of a geometry-optimized Y2Be2Cl structure, from the Alexandria database.

Properties
Calculated volume = 21.98 Å³ per atom

abc: 7.552 7.552 3.853
angles: 90.00 90.00 90.00
Fractional positions:
Y 0.318 0.818 0.000
Y 0.818 0.682 0.000
Y 0.682 0.182 0.000
Y 0.182 0.318 0.000
Be 0.094 0.594 0.500
Be 0.594 0.906 0.500
Be 0.906 0.406 0.500
Be 0.406 0.094 0.500
Cl 0.000 0.000 0.000
Cl 0.500 0.500 0.000



Run Q
The following is a PBE calculation of a geometry-optimized Y2Be2Cl structure, from the Alexandria database.

Properties
Calculated volume = 19.76 Å³ per atom

abc: 3.366 3.366 9.040
angles: 79.27 79.27 90.00
Fractional positions:
Y 0.383 0.383 0.233
Y 0.617 0.617 0.767
Be 0.750 0.250 0.500
Be 0.250 0.750 0.500
Cl 0.000 0.000 0.000



Referenced to the most stable arrangement, the calculated values in meV/atom are run P 0; run Q 207.



Run P
The following is a PBE calculation of a geometry-optimized YBe2Cl structure, from the Alexandria database.

Properties
Calculated volume = 18.96 Å³ per atom

abc: 3.805 3.805 6.193
angles: 90.73 90.73 57.77
Fractional positions:
Y 0.291 0.291 0.201
Be 0.956 0.956 0.930
Be 0.631 0.631 0.872
Cl 0.623 0.623 0.498



Run Q
The following is a PBE calculation of a geometry-optimized YBe2Cl structure, from the Alexandria database.

Properties
Calculated volume = 17.18 Å³ per atom

abc: 4.927 4.927 4.927
angles: 129.87 129.87 73.61
Fractional positions:
Y 0.750 0.250 0.500
Be 0.000 0.000 0.000
Be 0.250 0.750 0.500
Cl 0.500 0.500 0.000



Run R
The following is a PBE calculation of a geometry-optimized YBe2Cl structure, from the Alexandria database.

Properties
Calculated volume = 17.33 Å³ per atom

abc: 3.369 3.369 6.108
angles: 90.00 90.00 90.00
Fractional positions:
Y 0.500 0.500 0.750
Be 0.000 0.000 0.051
Be 0.000 0.000 0.449
Cl 0.500 0.500 0.250



Run S
The following is a PBE calculation of a geometry-optimized YBe2Cl structure, from the Alexandria database.

Properties
Calculated volume = 18.77 Å³ per atom

abc: 4.736 4.736 4.736
angles: 60.00 60.00 60.00
Fractional positions:
Y 0.500 0.500 0.500
Be 0.250 0.250 0.250
Be 0.750 0.750 0.750
Cl 0.000 0.000 0.000



Referenced to the most stable arrangement, the calculated values in meV/atom are run P 0; run Q 464; run R 701; run S 1031.



Run P
The following is a PBE calculation of a geometry-optimized YBe2Cl structure, from the Alexandria database.

Properties
Calculated volume = 17.08 Å³ per atom

abc: 4.588 4.588 4.588
angles: 60.00 60.00 60.00
Fractional positions:
Y 0.250 0.250 0.250
Be 0.000 0.000 0.000
Be 0.750 0.750 0.750
Cl 0.500 0.500 0.500



Run Q
The following is a PBE calculation of a geometry-optimized YBe2Cl structure, from the Alexandria database.

Properties
Calculated volume = 19.23 Å³ per atom

abc: 7.770 7.770 6.056
angles: 50.10 50.10 90.00
Fractional positions:
Y 0.000 0.000 0.000
Y 0.750 0.250 0.500
Be 0.605 0.125 0.250
Be 0.145 0.625 0.250
Be 0.375 0.395 0.750
Be 0.875 0.855 0.750
Cl 0.500 0.500 0.000
Cl 0.250 0.750 0.500



Referenced to the most stable arrangement, the calculated values in meV/atom are run P 0; run Q 52.



Run P
The following is a PBE calculation of a geometry-optimized YBe2Cl structure, from the Alexandria database.

Properties
Calculated volume = 18.38 Å³ per atom

abc: 4.157 3.311 5.342
angles: 89.94 90.00 90.00
Fractional positions:
Y 0.500 0.750 0.756
Be 0.000 0.250 0.084
Be 0.500 0.250 0.136
Cl 0.000 0.250 0.524



Run Q
The following is a PBE calculation of a geometry-optimized YBe2Cl structure, from the Alexandria database.

Properties
Calculated volume = 18.78 Å³ per atom

abc: 8.241 8.241 8.241
angles: 23.02 23.02 23.02
Fractional positions:
Y 0.750 0.750 0.750
Be 0.988 0.988 0.988
Be 0.512 0.512 0.512
Cl 0.250 0.250 0.250



Run R
The following is a PBE calculation of a geometry-optimized YBe2Cl structure, from the Alexandria database.

Properties
Calculated volume = 20.19 Å³ per atom

abc: 3.138 3.113 8.265
angles: 90.00 90.00 90.00
Fractional positions:
Y 0.500 0.500 0.780
Be 0.000 0.000 0.030
Be 0.500 0.500 0.123
Cl 0.000 0.000 0.567



Run S
The following is a PBE calculation of a geometry-optimized YBe2Cl structure, from the Alexandria database.

Properties
Calculated volume = 18.25 Å³ per atom

abc: 5.875 5.875 3.759
angles: 72.08 72.08 127.93
Fractional positions:
Y 0.000 0.500 0.500
Be 0.000 0.000 0.000
Be 0.500 0.500 0.000
Cl 0.500 0.000 0.500



Referenced to the most stable arrangement, the calculated values in meV/atom are run P 85; run Q 531; run R 0; run S 259.



Run P
The following is a PBE calculation of a geometry-optimized YBe2Cl structure, from the Alexandria database.

Properties
Calculated volume = 18.01 Å³ per atom

abc: 4.934 3.276 4.458
angles: 89.99 90.00 90.00
Fractional positions:
Y 0.500 0.750 0.750
Be 0.000 0.250 0.985
Be 0.000 0.250 0.515
Cl 0.500 0.250 0.250



Run Q
The following is a PBE calculation of a geometry-optimized YBe2Cl structure, from the Alexandria database.

Properties
Calculated volume = 18.67 Å³ per atom

abc: 3.221 3.221 7.953
angles: 90.00 90.00 115.16
Fractional positions:
Y 0.500 0.500 0.750
Be 0.000 0.000 0.031
Be 0.000 0.000 0.469
Cl 0.500 0.500 0.250



Referenced to the most stable arrangement, the calculated values in meV/atom are run P 0; run Q 264.



Run P
The following is a PBE calculation of a geometry-optimized YBe2Cl structure, from the Alexandria database.

Properties
Calculated volume = 19.24 Å³ per atom

abc: 5.013 5.013 3.468
angles: 90.00 90.00 117.98
Fractional positions:
Y 0.000 0.500 0.500
Be 0.000 0.000 0.000
Be 0.500 0.500 0.000
Cl 0.500 0.000 0.500



Run Q
The following is a PBE calculation of a geometry-optimized YBe2Cl structure, from the Alexandria database.

Properties
Calculated volume = 18.28 Å³ per atom

abc: 3.679 3.679 5.402
angles: 90.00 90.00 90.00
Fractional positions:
Y 0.000 0.500 0.500
Be 0.000 0.000 0.000
Be 0.500 0.500 0.000
Cl 0.500 0.000 0.500



Run R
The following is a PBE calculation of a geometry-optimized YBe2Cl structure, from the Alexandria database.

Properties
Calculated volume = 18.84 Å³ per atom

abc: 5.082 5.082 5.082
angles: 133.68 125.51 74.25
Fractional positions:
Y 0.218 0.718 0.500
Be 0.955 0.955 0.000
Be 0.859 0.359 0.500
Cl 0.468 0.468 0.000



Referenced to the most stable arrangement, the calculated values in meV/atom are run P 118; run Q 46; run R 0.